1 | TaAs2Br | meta-GGA SCAN | PBEsol geometry

## Properties
The crystal system is tetragonal. Its space group is No. 123. Its magnetization is 0.00 μB per cell. As for the calculated volume: 19.36 A^3/atom.

a b c (Å): 3.409 3.409 6.665
angles (deg): 90.00 90.00 90.00
Fractional positions:
Br 0.500 0.500 0.500
As 0.000 0.000 0.194
As 0.000 0.000 0.806
Ta 0.500 0.500 0.000

---

2 | TaAs2Br | meta-GGA SCAN | PBEsol geometry

## Properties
The crystal system is monoclinic. Its space group is No. 8. Its magnetization is 0.00 μB per cell. As for the calculated volume: 24.60 A^3/atom.

a b c (Å): 3.501 4.827 6.536
angles (deg): 105.86 90.00 111.26
Fractional positions:
Ta 0.222 0.444 0.861
Br 0.567 0.135 0.558
As 0.772 0.543 0.163
As 0.939 0.877 0.918

---

3 | TaAs2Br | meta-GGA SCAN | PBEsol geometry

## Properties
The crystal system is cubic. Its space group is No. 225. Its magnetization is 0.00 μB per cell. As for the calculated volume: 18.36 A^3/atom.

a b c (Å): 4.701 4.701 4.701
angles (deg): 60.00 60.00 60.00
Fractional positions:
As 0.250 0.250 0.250
As 0.750 0.750 0.750
Br 0.000 0.000 0.000
Ta 0.500 0.500 0.500

---

4 | TaAs2Br | meta-GGA SCAN | PBEsol geometry

## Properties
The crystal system is trigonal. Its space group is No. 166. Its magnetization is 0.00 μB per cell. As for the calculated volume: 19.87 A^3/atom.

a b c (Å): 3.356 3.356 8.372
angles (deg): 78.44 78.44 60.00
Fractional positions:
As 0.262 0.262 0.215
As 0.738 0.738 0.785
Br 0.500 0.500 0.500
Ta 0.000 0.000 0.000

---

Of them, the most stable is 2 and the least stable is 3.

---

1 | TlAs2Br | meta-GGA SCAN | PBEsol geometry

## Properties
The crystal system is orthorhombic. Its space group is No. 69. Its magnetization is 0.00 μB per cell. As for the calculated volume: 24.30 A^3/atom.

a b c (Å): 4.182 4.182 6.277
angles (deg): 108.93 108.93 91.51
Fractional positions:
Br 0.000 0.000 0.000
As 0.500 0.000 0.500
As 0.000 0.500 0.500
Tl 0.500 0.500 0.000

---

2 | TlAs2Br | meta-GGA SCAN | PBEsol geometry

## Properties
The crystal system is orthorhombic. Its space group is No. 47. Its magnetization is 0.00 μB per cell. As for the calculated volume: 22.68 A^3/atom.

a b c (Å): 3.272 5.205 5.326
angles (deg): 90.00 90.00 90.00
Fractional positions:
As 0.000 0.000 0.000
As 0.500 0.500 0.000
Tl 0.000 0.500 0.500
Br 0.500 0.000 0.500

---

Of them, the most stable is 1 and the least stable is 2.